Version one
VASP calculation (PBE) on YHgB after structural relaxation.

Output
N(E_F) (states/eV per cell): 5.24

Cell lengths 7.2988, 5.2133, 6.0327 Å; angles 90.00, 90.00, 90.00 degrees
With the nearest neighbours (Å) after each atom.
Space group Pnma (No. 62)
Asymmetric unit:
Y 0.1655 0.2500 0.1527 x4  4 B 2.62-2.70
Hg 0.0409 0.2500 0.6610 x4  2 B 2.29-2.37
B 0.1630 0.7500 0.0342 x4  2 Hg 2.29-2.37

***

Version two
VASP calculation (PBE) on YHgB after structural relaxation.

Output
N(E_F) (states/eV per cell): 10.16

Cell lengths 6.5554, 6.5554, 6.5554 Å; angles 90.00, 90.00, 90.00 degrees
With the nearest neighbours (Å) after each atom.
Space group F-43m (No. 216)
Asymmetric unit:
Y 0.0000 0.0000 0.0000 x4  4 Hg 2.84, 4 B 2.84
Hg 0.2500 0.2500 0.7500 x4  4 Y 2.84
B 0.2500 0.2500 0.2500 x4  4 Y 2.84

***

Version three
VASP calculation (PBE) on YHgB after structural relaxation.

Output
N(E_F) (states/eV per cell): 6.63

Cell lengths 6.1805, 3.3852, 11.7193 Å; angles 90.00, 90.00, 90.00 degrees
With the nearest neighbours (Å) after each atom.
Space group Pnma (No. 62)
Asymmetric unit:
Y 0.1837 0.2500 0.1391 x4  4 B 2.63-2.68
Hg 0.1860 0.2500 0.4133 x4  2 B 2.73
B 0.0282 0.2500 0.7300 x4  4 Y 2.63-2.68, 2 Hg 2.73

***

Version four
VASP calculation (PBE) on YHgB after structural relaxation.

Output
N(E_F) (states/eV per cell): 2.20

Cell lengths 4.0088, 3.7802, 8.0976 Å; angles 90.00, 104.27, 90.00 degrees
With the nearest neighbours (Å) after each atom.
Space group Pm (No. 6)
Asymmetric unit:
Y 0.0000 0.0000 0.0000 x1  8 Hg 3.02-3.28, 2 B 3.02
Y 0.2595 0.0000 0.5172 x1  4 B 2.76
Hg 0.4219 0.5000 0.8430 x1  2 B 2.30
Hg 0.6113 0.5000 0.2259 x1  1 B 2.15
B 0.7519 0.5000 0.5001 x1  1 B 1.57
B 0.8503 0.5000 0.6995 x1  1 B 1.57

***

Pick the least stable structure from those above. Pick: version two